(1)
Compound: YTmTlGa
Source: Alexandria
Functional: PBE
Structure: optimized geometry

Summary:
ΔH_f (0 K): -0.455 eV/atom

abc: 3.5548 3.5548 7.8326
angles: 90.00 90.00 90.00
Closest atoms and distances in Å follow each position.
Space group P4mm (No. 99)
Inequivalent atoms, fractional coordinates:
Y: 0.0000 0.0000 0.0000 (multiplicity 1)  4 Ga 3.12, 4 Tl 3.30
Tm: 0.0000 0.0000 0.5381 (multiplicity 1)  4 Ga 3.08, 4 Tl 3.26
Tl: 0.5000 0.5000 0.2735 (multiplicity 1)  4 Tm 3.26, 4 Y 3.30, 4 Tl 3.55
Ga: 0.5000 0.5000 0.7650 (multiplicity 1)  4 Tm 3.08, 4 Y 3.12


(2)
Compound: CdSiMo2
Source: Alexandria
Functional: PBE
Structure: optimized geometry

Summary:
Formation energy without anion corrections: 0.292 eV per atom

abc: 2.8588 4.4343 5.3077
angles: 90.00 100.68 90.00
Closest atoms and distances in Å follow each position.
Space group Pm (No. 6)
Inequivalent atoms, fractional coordinates:
Cd: 0.0000 0.0000 0.0000 (multiplicity 1)  7 Mo 2.75-3.06, 2 Si 2.81, 2 Cd 2.86
Si: 0.2409 0.5000 0.7232 (multiplicity 1)  4 Mo 2.58-2.75, 2 Cd 2.81, 2 Si 2.86
Mo: 0.4188 0.0000 0.5098 (multiplicity 1)  2 Si 2.58, 4 Mo 2.63-2.86, 2 Cd 2.75-2.82
Mo: 0.6108 0.5000 0.2809 (multiplicity 1)  4 Mo 2.63-2.86, 2 Si 2.68-2.75


(3)
Compound: UMnAg2Se6
Source: Alexandria
Functional: PBE
Structure: optimized geometry

Summary:
Formation energy without anion corrections: -0.420 eV per atom

abc: 6.6368 6.6368 18.9296
angles: 90.00 90.00 120.00
Closest atoms and distances in Å follow each position.
Space group R3 (No. 146, hexagonal axes)
Inequivalent atoms, fractional coordinates:
U: 0.0000 0.0000 0.0000 (multiplicity 3)  6 Se 2.72
Mn: 0.0000 0.0000 0.5021 (multiplicity 3)  6 Se 2.57-2.59
Ag: 0.0000 0.0000 0.3223 (multiplicity 3)  6 Se 2.76-2.82
Ag: 0.0000 0.0000 0.8208 (multiplicity 3)  6 Se 2.72-2.80
Se: 0.0080 0.3609 0.2472 (multiplicity 9)  1 Mn 2.57, 1 U 2.72, 2 Ag 2.76-2.80
Se: 0.0324 0.6956 0.0887 (multiplicity 9)  1 Mn 2.59, 2 Ag 2.72-2.82, 1 U 2.72


(4)
Compound: YNiH2
Source: Alexandria
Functional: PBE
Structure: optimized geometry

Summary:
Energy: -61.72 eV per cell

abc: 3.8721 3.8721 11.4388
angles: 90.00 90.00 120.00
Closest atoms and distances in Å follow each position.
Space group R-3m (No. 166, hexagonal axes)
Inequivalent atoms, fractional coordinates:
Y: 0.0000 0.0000 0.0000 (multiplicity 3)  6 H 2.26
Ni: 0.0000 0.0000 0.5000 (multiplicity 3)  2 H 1.55
H: 0.0000 0.0000 0.3648 (multiplicity 6)  1 Ni 1.55


(5)
Compound: TeSe2IN
Source: Alexandria
Functional: PBE
Structure: optimized geometry

Summary:
Formation energy without anion corrections: 0.996 eV per atom

abc: 5.5751 5.5751 3.9900
angles: 90.00 90.00 90.00
Closest atoms and distances in Å follow each position.
Space group P4/mmm (No. 123)
Inequivalent atoms, fractional coordinates:
Te: 0.0000 0.0000 0.0000 (multiplicity 1)  2 N 2.00
Se: 0.0000 0.5000 0.0000 (multiplicity 2)  2 Te 2.79
I: 0.5000 0.5000 0.5000 (multiplicity 1)  8 Se 3.43
N: 0.0000 0.0000 0.5000 (multiplicity 1)  2 Te 2.00


(6)
Compound: CaMg2CdAg4
Source: Alexandria
Functional: PBE
Structure: optimized geometry

Summary:
ΔH_f (0 K): -0.184 eV/atom

abc: 4.8956 4.8956 23.6251
angles: 90.00 90.00 120.00
Closest atoms and distances in Å follow each position.
Space group R-3m (No. 166, hexagonal axes)
Inequivalent atoms, fractional coordinates:
Ca: 0.0000 0.0000 0.0000 (multiplicity 3)  8 Ag 3.03-3.05
Mg: 0.0000 0.0000 0.2497 (multiplicity 6)  8 Ag 2.84-3.06
Cd: 0.0000 0.0000 0.5000 (multiplicity 3)  8 Ag 2.85-2.96
Ag: 0.0000 0.0000 0.1293 (multiplicity 6)  4 Mg 2.84-3.03, 3 Cd 2.96, 1 Ca 3.05
Ag: 0.0000 0.0000 0.3794 (multiplicity 6)  1 Cd 2.85, 4 Mg 2.96-3.06, 3 Ca 3.03


Number 1: Fermi-level density of states 0.40 states/eV/atom, total magnetization 0.00 μB/f.u.. Number 2: Fermi-level density of states 0.57 states/eV/atom, total magnetization 0.00 μB/f.u.. Number 3: Fermi-level density of states 0.73 states/eV/atom, total magnetization 3.73 μB/f.u.. Number 4: Fermi-level density of states 0.40 states/eV/atom, total magnetization 0.00 μB/f.u.. Number 5: Fermi-level density of states 1.23 states/eV/atom, total magnetization 0.00 μB/f.u.. Number 6: Fermi-level density of states 0.28 states/eV/atom, total magnetization 0.00 μB/f.u..